No. 1
{"formula": "Sr2CrRh", "functional": "PBE", "state": "optimized geometry", "lattice": [[-10.360, -3.913, 2.087], [3.216, -10.280, -3.313], [-2.929, -7.612, 1.612]], "species": ["Rh", "Rh", "Sr", "Sr", "Sr", "Sr", "Cr", "Cr"], "fractional_positions": [[0.750, 0.250, 0.500], [0.000, 0.000, 0.000], [0.375, 0.201, 0.750], [0.799, 0.125, 0.250], [0.951, 0.625, 0.250], [0.875, 0.049, 0.750], [0.250, 0.750, 0.500], [0.500, 0.500, 0.000]], "e_above_lowest_polymorph_mev_per_atom": 179, "e_tot_ev_per_cell": -38.26}

No. 2
{"formula": "Ce2TmCu2Si2", "functional": "PBE", "state": "optimized geometry", "lattice": [[4.144, 0.000, 0.000], [2.072, 3.589, 0.000], [2.072, 1.196, 8.975]], "species": ["Si", "Si", "Ce", "Ce", "Tm", "Cu", "Cu"], "fractional_positions": [[0.735, 0.735, 0.794], [0.265, 0.265, 0.206], [0.861, 0.861, 0.417], [0.139, 0.139, 0.583], [0.000, 0.000, 0.000], [0.599, 0.599, 0.202], [0.401, 0.401, 0.798]], "e_tot_ev_per_cell": -38.86, "e_form_raw_ev_per_atom": -0.50}

No. 3
{"formula": "CeCo3H", "functional": "PBE", "state": "optimized geometry", "lattice": [[-0.471, 2.729, 2.683], [2.334, -1.937, 2.380], [3.032, 1.915, -1.415]], "species": ["H", "Co", "Co", "Co", "Ce"], "fractional_positions": [[0.000, 0.000, 0.000], [0.500, 0.000, 0.000], [0.000, 0.500, 0.000], [0.000, 0.000, 0.500], [0.500, 0.500, 0.500]], "e_tot_ev_per_cell": -31.05}

No. 4
{"formula": "GdZrTlHg", "functional": "PBE", "state": "optimized geometry", "lattice": [[-2.838, -0.028, 4.342], [-3.975, -3.299, 0.479], [0.330, -3.998, 3.289]], "species": ["Tl", "Hg", "Zr", "Gd"], "fractional_positions": [[0.750, 0.750, 0.750], [0.250, 0.250, 0.250], [0.000, 0.000, 0.000], [0.500, 0.500, 0.500]], "e_tot_ev_per_cell": -26.06}

No. 5
{"formula": "Er2Al5Pt3", "functional": "PBE", "state": "optimized geometry", "lattice": [[4.237, 0.000, -0.722], [0.000, 6.712, 0.000], [-0.019, 0.000, 12.686]], "species": ["Al", "Al", "Al", "Al", "Al", "Al", "Al", "Al", "Al", "Al", "Pt", "Pt", "Pt", "Pt", "Pt", "Pt", "Er", "Er", "Er", "Er"], "fractional_positions": [[0.399, 0.408, 0.797], [0.289, 0.511, 0.578], [0.874, 0.753, 0.748], [0.126, 0.253, 0.252], [0.711, 0.011, 0.422], [0.293, 0.915, 0.586], [0.946, 0.087, 0.892], [0.601, 0.908, 0.203], [0.054, 0.587, 0.108], [0.707, 0.415, 0.414], [0.392, 0.016, 0.785], [0.950, 0.479, 0.901], [0.050, 0.979, 0.099], [0.227, 0.210, 0.454], [0.773, 0.710, 0.546], [0.608, 0.516, 0.215], [0.825, 0.225, 0.651], [0.175, 0.725, 0.349], [0.518, 0.261, 0.037], [0.482, 0.761, 0.963]], "e_tot_ev_per_cell": -112.50}

No. 6
{"formula": "PmEuSnPd", "functional": "PBE", "state": "optimized geometry", "lattice": [[-2.862, -4.383, -0.978], [-1.463, -3.175, 4.017], [-5.108, -0.231, 1.487]], "species": ["Sn", "Pd", "Eu", "Pm"], "fractional_positions": [[0.250, 0.250, 0.250], [0.750, 0.750, 0.750], [0.500, 0.500, 0.500], [0.000, 0.000, 0.000]], "e_tot_ev_per_cell": -26.82}

No. 7
{"formula": "CuTc2PtF", "functional": "PBE", "state": "optimized geometry", "lattice": [[-3.390, 2.128, 0.426], [-1.225, -1.224, -3.634], [-1.931, -3.440, 1.810]], "species": ["Tc", "Tc", "Cu", "F", "Pt"], "fractional_positions": [[0.500, 0.000, 0.000], [0.000, 0.500, 0.000], [0.000, 0.000, 0.500], [0.000, 0.000, 0.000], [0.500, 0.500, 0.500]], "e_tot_ev_per_cell": -29.78, "e_form_raw_ev_per_atom": 0.59}

No. 8
{"formula": "Cd2RhAu", "functional": "PBE", "state": "optimized geometry", "lattice": [[1.542, -2.726, 5.368], [-3.379, -1.808, -4.893], [1.065, 1.612, -5.907]], "species": ["Au", "Rh", "Cd", "Cd"], "fractional_positions": [[0.000, 0.500, 0.500], [0.000, 0.000, 0.000], [0.000, 0.244, 0.244], [0.000, 0.756, 0.756]], "e_tot_ev_per_cell": -11.47}